(1)
First-principles (PBE-GGA) data for a relaxed structure of LiCaCeAl, as listed in Alexandria via LeMat-Bulk.

Values from the calculation:
ΔH_f (0 K): -0.07 eV/atom
DOS(E_F): 27.20 states/eV per cell
total magnetic moment: 3.40 μB per cell

Unit cell a=7.491 b=7.491 c=7.491 alpha=90.00 beta=90.00 gamma=90.00
Space group F-43m (No. 216)
One atom of each set of equivalent atoms:
Li  0.000  0.000  0.000 (multiplicity 4)
Ca  0.250  0.250  0.750 (multiplicity 4)
Ce  0.250  0.250  0.250 (multiplicity 4)
Al  0.000  0.000  0.500 (multiplicity 4)

---

(2)
First-principles (PBE-GGA) data for a relaxed structure of CaCeNdAl, as listed in Alexandria via LeMat-Bulk.

Values from the calculation:
ΔH_f (0 K): 0.02 eV/atom
DOS(E_F): 39.67 states/eV per cell
total magnetic moment: 5.21 μB per cell

Unit cell a=7.773 b=7.773 c=7.773 alpha=90.00 beta=90.00 gamma=90.00
Space group F-43m (No. 216)
One atom of each set of equivalent atoms:
Ca  0.000  0.000  0.000 (multiplicity 4)
Ce  0.250  0.250  0.750 (multiplicity 4)
Nd  0.250  0.250  0.250 (multiplicity 4)
Al  0.000  0.000  0.500 (multiplicity 4)

---

(3)
First-principles (PBE-GGA) data for a relaxed structure of CaCe2AlO6, as listed in Alexandria via LeMat-Bulk.

Values from the calculation:
energy: -7.7462 eV/atom
DOS(E_F): 11.20 states/eV per cell
total magnetic moment: 1.04 μB per cell

Unit cell a=5.327 b=5.327 c=5.122 alpha=90.00 beta=90.00 gamma=90.00
Space group P4mm (No. 99)
One atom of each set of equivalent atoms:
Ca  0.000  0.000  0.000 (multiplicity 1)
Ce  0.000  0.500  0.436 (multiplicity 2)
Al  0.500  0.500  0.047 (multiplicity 1)
O  0.000  0.000  0.571 (multiplicity 1)
O  0.269  0.269  0.181 (multiplicity 4)
O  0.500  0.500  0.694 (multiplicity 1)

---

Q: Which of these has the lowest DOS(E_F)?
A: CaCe2AlO6

---

Q: Number 1 is which compound?
A: LiCaCeAl

---

Q: Look up the DOS(E_F) of the third one.
A: 11.20 states/eV per cell

---

Q: What is the formula in the third record?
A: CaCe2AlO6